No. 1
## Rb2CeTcO6 (PBE-GGA)

Data for a relaxed Rb2CeTcO6 crystal.

a = 5.9384 Å, b = 5.9384 Å, c = 4.4993 Å
α = 90.00°, β = 90.00°, γ = 90.00°
Last column: nearest neighbours and their distance in Å.
Space group P4mm (No. 99)
Symmetry-distinct sites (fractional):
Rb  0.0000  0.5000  0.0000 (multiplicity 2)  12 O 2.97-3.17
Ce  0.0000  0.0000  0.5206 (multiplicity 1)  6 O 2.25-2.32
Tc  0.5000  0.5000  0.4371 (multiplicity 1)  5 O 1.74-1.92
O  0.0000  0.0000  0.0210 (multiplicity 1)  2 Ce 2.25
O  0.2768  0.2768  0.5250 (multiplicity 4)  1 Tc 1.92
O  0.5000  0.5000  0.0514 (multiplicity 1)  1 Tc 1.74

Computed properties:
* calculated total energy: -6.883 eV per atom
* formation energy (no corrections): -201.1 kJ per mole of atoms

No. 2
## RbCeTc2O8 (PBE-GGA)

Data for a relaxed RbCeTc2O8 crystal.

a = 6.0574 Å, b = 6.0574 Å, c = 8.0688 Å
α = 90.00°, β = 90.00°, γ = 120.00°
Last column: nearest neighbours and their distance in Å.
Space group P-3 (No. 147)
Symmetry-distinct sites (fractional):
Rb  0.0000  0.0000  0.0000 (multiplicity 1)  12 O 3.17-3.50
Ce  0.0000  0.0000  0.5000 (multiplicity 1)  6 O 2.30
Tc  0.3333  0.6667  0.7557 (multiplicity 2)  4 O 1.75-1.81
O  0.1684  0.3431  0.6770 (multiplicity 6)  1 Tc 1.81
O  0.3333  0.6667  0.9720 (multiplicity 2)  1 Tc 1.75

Computed properties:
* calculated total energy: -7.537 eV per atom
* formation energy (no corrections): -186.1 kJ per mole of atoms